Entry 1:
{
  "formula": "NaCa10P7O28",
  "functional": "PBE",
  "state": "relaxed",
  "lattice_angstrom": [[5.2720, 3.0438, 12.5462], [-5.2720, 3.0438, 12.5462], [0.0000, -6.0875, 12.5462]],
  "species": ["Na", "Na", "Ca", "Ca", "Ca", "Ca", "Ca", "Ca", "Ca", "Ca", "Ca", "Ca", "Ca", "Ca", "Ca", "Ca", "Ca", "Ca", "Ca", "Ca", "Ca", "Ca", "P", "P", "P", "P", "P", "P", "P", "P", "P", "P", "P", "P", "P", "P", "O", "O", "O", "O", "O", "O", "O", "O", "O", "O", "O", "O", "O", "O", "O", "O", "O", "O", "O", "O", "O", "O", "O", "O", "O", "O", "O", "O", "O", "O", "O", "O", "O", "O", "O", "O", "O", "O", "O", "O", "O", "O", "O", "O", "O", "O", "O", "O", "O", "O", "O", "O", "O", "O", "O", "O"],
  "frac_coords": [[0.0000, 0.0000, 0.0000], [0.4998, 0.4998, 0.4998], [0.0271, 0.6107, 0.6200], [0.1108, 0.5270, 0.1201], [0.1201, 0.1108, 0.5270], [0.1237, 0.7124, 0.7398], [0.1845, 0.1845, 0.1845], [0.2122, 0.6235, 0.2400], [0.2400, 0.2122, 0.6235], [0.2440, 0.2774, 0.8357], [0.2774, 0.8357, 0.2440], [0.3356, 0.7771, 0.7446], [0.5270, 0.1201, 0.1108], [0.6107, 0.6200, 0.0271], [0.6200, 0.0271, 0.6107], [0.6235, 0.2400, 0.2122], [0.6845, 0.6845, 0.6845], [0.7124, 0.7398, 0.1237], [0.7398, 0.1237, 0.7124], [0.7446, 0.3356, 0.7771], [0.7771, 0.7446, 0.3356], [0.8357, 0.2440, 0.2774], [0.0004, 0.4564, 0.5003], [0.0000, 0.9568, 0.5002], [0.3580, 0.9182, 0.8766], [0.3771, 0.4177, 0.8581], [0.4177, 0.8581, 0.3771], [0.4187, 0.4187, 0.4187], [0.4564, 0.5003, 0.0004], [0.5003, 0.0004, 0.4564], [0.5002, 0.0000, 0.9568], [0.8581, 0.3771, 0.4177], [0.8766, 0.3580, 0.9182], [0.9182, 0.8766, 0.3580], [0.9187, 0.9187, 0.9187], [0.9568, 0.5002, 0.0000], [0.0128, 0.5617, 0.8295], [0.0181, 0.9949, 0.5662], [0.0332, 0.3157, 0.3208], [0.0391, 0.3249, 0.0638], [0.0433, 0.2843, 0.5935], [0.0495, 0.2955, 0.8485], [0.0630, 0.5113, 0.3297], [0.0638, 0.0391, 0.3249], [0.0663, 0.4943, 0.5186], [0.0731, 0.9304, 0.7935], [0.0813, 0.7897, 0.3447], [0.0923, 0.7846, 0.5443], [0.2752, 0.9277, 0.8320], [0.2843, 0.5935, 0.0433], [0.2902, 0.5809, 0.8444], [0.2935, 0.4305, 0.5730], [0.2955, 0.8485, 0.0495], [0.3157, 0.3208, 0.0332], [0.3208, 0.0332, 0.3157], [0.3249, 0.0638, 0.0391], [0.3297, 0.0630, 0.5113], [0.3330, 0.4269, 0.7751], [0.3447, 0.0813, 0.7897], [0.3476, 0.7963, 0.5499], [0.3774, 0.3774, 0.3774], [0.4269, 0.7751, 0.3330], [0.4305, 0.5730, 0.2935], [0.4943, 0.5186, 0.0663], [0.5113, 0.3297, 0.0630], [0.5186, 0.0663, 0.4943], [0.5330, 0.8209, 0.8157], [0.5396, 0.5632, 0.8251], [0.5443, 0.0923, 0.7846], [0.5499, 0.3476, 0.7963], [0.5617, 0.8295, 0.0128], [0.5632, 0.8251, 0.5396], [0.5662, 0.0181, 0.9949], [0.5730, 0.2935, 0.4305], [0.5809, 0.8444, 0.2902], [0.5935, 0.0433, 0.2843], [0.7751, 0.3330, 0.4269], [0.7846, 0.5443, 0.0923], [0.7897, 0.3447, 0.0813], [0.7935, 0.0731, 0.9304], [0.7963, 0.5499, 0.3476], [0.8157, 0.5330, 0.8209], [0.8209, 0.8157, 0.5330], [0.8251, 0.5396, 0.5632], [0.8295, 0.0128, 0.5617], [0.8320, 0.2752, 0.9277], [0.8444, 0.2902, 0.5809], [0.8485, 0.0495, 0.2955], [0.8774, 0.8774, 0.8774], [0.9277, 0.8320, 0.2752], [0.9304, 0.7935, 0.0731], [0.9949, 0.5662, 0.0181]],
  "m_tot_mub_per_atom": 0.000,
  "dos_at_fermi_per_ev_cell": 0.00,
  "space_group": "R3",
  "formation_energy_uncorrected_ev_per_atom": -2.863
}

=====

Entry 2:
{
  "formula": "Zn2InMo",
  "functional": "PBE",
  "state": "relaxed",
  "lattice_angstrom": [[10.6034, 0.0000, 0.0000], [0.0000, 2.8735, 0.0000], [-2.3740, 0.0000, 4.4302]],
  "species": ["Zn", "Zn", "Zn", "Zn", "In", "In", "Mo", "Mo"],
  "frac_coords": [[0.0000, 0.0000, 0.0000], [0.2491, 0.0000, 0.5816], [0.5000, 0.5000, 0.0000], [0.7491, 0.5000, 0.5816], [0.4888, 0.0000, 0.4824], [0.9888, 0.5000, 0.4824], [0.2385, 0.5000, 0.0529], [0.7385, 0.0000, 0.0529]],
  "formation_enthalpy_0k_mev_per_atom": 187,
  "m_tot_mub_per_atom": 0.000,
  "dos_at_fermi_per_ev_cell": 4.09,
  "space_group": "Cm"
}

=====

Entry 3:
{
  "formula": "Ta3TcW",
  "functional": "PBE",
  "state": "relaxed",
  "lattice_angstrom": [[4.8010, 0.0000, 0.0000], [0.0000, 4.8010, 0.0000], [0.0000, 0.0000, 4.8010]],
  "species": ["Ta", "Ta", "Ta", "Tc", "W"],
  "frac_coords": [[0.0000, 0.0000, 0.5000], [0.0000, 0.5000, 0.0000], [0.5000, 0.0000, 0.0000], [0.5000, 0.5000, 0.5000], [0.0000, 0.0000, 0.0000]],
  "formation_enthalpy_0k_mev_per_atom": 1866,
  "m_tot_mub_per_atom": 0.392,
  "polymorph_energy_mev_per_atom": 1734,
  "dos_at_fermi_per_ev_cell": 7.03,
  "space_group": "Pm-3m"
}

=====

Entry 4:
{
  "formula": "BeAgSe",
  "functional": "PBE",
  "state": "relaxed",
  "lattice_angstrom": [[10.8940, 0.0000, 0.0000], [0.0000, 5.8862, 0.0000], [-1.1620, 0.0000, 3.3769]],
  "species": ["Be", "Be", "Be", "Be", "Ag", "Ag", "Ag", "Ag", "Se", "Se", "Se", "Se"],
  "frac_coords": [[0.1893, 0.0000, 0.1889], [0.3107, 0.5000, 0.8111], [0.6893, 0.5000, 0.1889], [0.8107, 0.0000, 0.8111], [0.0000, 0.0458, 0.5000], [0.0000, 0.6895, 0.0000], [0.5000, 0.1895, 0.0000], [0.5000, 0.5458, 0.5000], [0.1988, 0.3841, 0.2000], [0.3012, 0.8841, 0.8000], [0.6988, 0.8841, 0.2000], [0.8012, 0.3841, 0.8000]],
  "m_tot_mub_per_atom": 0.000,
  "polymorph_energy_mev_per_atom": 35,
  "space_group": "C2",
  "formation_energy_uncorrected_ev_per_atom": -0.219
}